Compound: TbHo2Th3
Source: Alexandria
Functional: GGA-PBE
Structure: relaxed

Unit cell a=6.712 b=11.285 c=7.607 alpha=137.88 beta=90.00 gamma=90.00
Positions (direct):
1 Tb 0.250 0.230 0.000
2 Tb 0.750 0.770 0.000
3 Ho 0.750 0.437 0.333
4 Ho 0.250 0.563 0.667
5 Ho 0.250 0.896 0.333
6 Ho 0.750 0.104 0.667
7 Th 0.000 0.167 0.334
8 Th 0.500 0.833 0.666
9 Th 0.000 0.500 0.000
10 Th 0.500 0.500 0.000
11 Th 0.000 0.833 0.666
12 Th 0.500 0.167 0.334

Calculated values
As for the mass density: 10.184 g/cm³. For the total energy, the calculation gives -69.9 eV per cell.